## Ag4BiF7 (PBE)

Data for a relaxed structure of Ag4BiF7.

## Properties
total magnetic moment: 0.00 μB/f.u.
DFT total energy: -3.749 eV per atom

Cell: 17.299 4.453 5.860 Å, 90.00 104.92 90.00°
Space group C2/m (No. 12)
Symmetry-distinct sites (fractional):
1 Ag 0.088 0.000 0.076
2 Ag 0.245 0.500 0.251
3 Bi 0.000 0.500 0.500
4 F 0.000 0.000 0.500
5 F 0.073 0.500 0.883
6 F 0.111 0.500 0.367
7 F 0.229 0.000 0.194

***

## AgBiF2 (PBE)

Data for a relaxed structure of AgBiF2.

## Properties
total magnetic moment: 0.00 μB/f.u.
DFT total energy: -3.631 eV per atom

Cell: 6.395 6.395 6.395 Å, 90.00 90.00 90.00°
Space group Fm-3m (No. 225)
Symmetry-distinct sites (fractional):
1 Ag 0.000 0.000 0.000
2 Bi 0.000 0.000 0.500
3 F 0.250 0.250 0.250

***

## AgBiF (PBE)

Data for a relaxed structure of AgBiF.

## Properties
total magnetic moment: 0.00 μB/f.u.
DFT total energy: -3.701 eV per atom

Cell: 18.210 3.338 4.606 Å, 90.00 104.37 90.00°
Space group C2/m (No. 12)
Symmetry-distinct sites (fractional):
1 Ag 0.237 0.000 0.238
2 Bi 0.094 0.500 0.102
3 F 0.087 0.500 0.595

***

## Ag2BiF (PBE)

Data for a relaxed structure of Ag2BiF.

## Properties
total magnetic moment: 0.00 μB/f.u.
DFT total energy: -3.122 eV per atom

Cell: 6.809 6.809 6.809 Å, 90.00 90.00 90.00°
Space group Fm-3m (No. 225)
Symmetry-distinct sites (fractional):
1 Ag 0.250 0.250 0.250
2 Bi 0.000 0.000 0.000
3 F 0.000 0.000 0.500

***

## AgBi2F12 (PBE)

Data for a relaxed structure of AgBi2F12.

## Properties
total magnetic moment: 0.95 μB/f.u.
DFT total energy: -3.878 eV per atom

Cell: 5.435 5.738 9.215 Å, 75.96 88.60 64.80°
Space group P-1 (No. 2)
Symmetry-distinct sites (fractional):
1 Ag 0.000 0.000 0.000
2 Bi 0.225 0.517 0.728
3 F 0.179 0.254 0.277
4 F 0.184 0.261 0.625
5 F 0.186 0.266 0.935
6 F 0.267 0.741 0.873
7 F 0.298 0.751 0.548
8 F 0.367 0.712 0.207

***

## AgBi3F (PBE)

Data for a relaxed structure of AgBi3F.

## Properties
total magnetic moment: 0.00 μB/f.u.
DFT total energy: -3.381 eV per atom

Cell: 5.084 5.084 5.084 Å, 90.00 90.00 90.00°
Space group Pm-3m (No. 221)
Symmetry-distinct sites (fractional):
1 Ag 0.000 0.000 0.000
2 Bi 0.000 0.500 0.500
3 F 0.500 0.500 0.500

***

## Ag2BiF6 (PBE)

Data for a relaxed structure of Ag2BiF6.

## Properties
total magnetic moment: 1.06 μB/f.u.
DFT total energy: -3.983 eV per atom

Cell: 12.352 4.180 7.396 Å, 90.00 125.37 90.00°
Space group C2/m (No. 12)
Symmetry-distinct sites (fractional):
1 Ag 0.176 0.000 0.124
2 Bi 0.000 0.000 0.500
3 F 0.026 0.000 0.207
4 F 0.118 0.500 0.545
5 F 0.211 0.000 0.837

***

## AgBi2F (PBE)

Data for a relaxed structure of AgBi2F.

## Properties
total magnetic moment: 0.00 μB/f.u.
DFT total energy: -3.515 eV per atom

Cell: 4.973 4.973 17.038 Å, 90.00 90.00 90.00°
Space group I-42d (No. 122)
Symmetry-distinct sites (fractional):
1 Ag 0.000 0.000 0.000
2 Bi 0.190 0.250 0.625
3 F 0.000 0.000 0.500